[1]
## SrPrSe2F (PBE-GGA)

Data for a relaxed SrPrSe2F crystal.

Unit cell a=4.218 b=4.218 c=14.937 alpha=90.00 beta=90.00 gamma=90.00
Sites, in units of the cell vectors:
Sr  0.250  0.250  0.093
Sr  0.750  0.750  0.907
Pr  0.250  0.250  0.627
Pr  0.750  0.750  0.373
Se  0.250  0.250  0.408
Se  0.250  0.250  0.810
Se  0.750  0.750  0.190
Se  0.750  0.750  0.592
F  0.250  0.750  0.000
F  0.750  0.250  0.000

## Properties
M_tot ... 0.00 Bohr magnetons per cell
Energy ... -0.407 Ry/atom
V ... 26.569 Å³ per atom

[2]
## Pr4Si2F5 (PBE-GGA)

Data for a relaxed Pr4Si2F5 crystal.

Unit cell a=9.369 b=9.369 c=7.075 alpha=107.23 beta=107.23 gamma=24.57
Sites, in units of the cell vectors:
Pr  0.032  0.032  0.283
Pr  0.282  0.282  0.780
Pr  0.718  0.718  0.220
Pr  0.968  0.968  0.717
Si  0.437  0.437  0.001
Si  0.563  0.563  0.999
F  0.193  0.193  0.428
F  0.269  0.269  0.131
F  0.500  0.500  0.500
F  0.731  0.731  0.869
F  0.807  0.807  0.572

## Properties
M_tot ... 0.00 Bohr magnetons per cell
Energy ... -0.440 Ry/atom
V ... 22.374 Å³ per atom

[3]
## Pr2SmF (PBE-GGA)

Data for a relaxed Pr2SmF crystal.

Unit cell a=9.113 b=9.113 c=9.113 alpha=24.23 beta=24.23 gamma=24.23
Sites, in units of the cell vectors:
Pr  0.224  0.224  0.224
Pr  0.776  0.776  0.776
Sm  0.000  0.000  0.000
F  0.500  0.500  0.500

## Properties
M_tot ... 0.00 Bohr magnetons per cell
Energy ... -0.380 Ry/atom
V ... 28.009 Å³ per atom

[4]
## Pr2SmF8 (PBE-GGA)

Data for a relaxed Pr2SmF8 crystal.

Unit cell a=7.863 b=7.863 c=5.811 alpha=110.54 beta=110.54 gamma=28.21
Sites, in units of the cell vectors:
Pr  0.174  0.174  0.176
Pr  0.826  0.826  0.824
Sm  0.500  0.500  0.500
F  0.039  0.039  0.284
F  0.223  0.223  0.826
F  0.326  0.326  0.540
F  0.407  0.407  0.063
F  0.593  0.593  0.937
F  0.674  0.674  0.460
F  0.777  0.777  0.174
F  0.961  0.961  0.716

## Properties
M_tot ... 0.99 Bohr magnetons per cell
Energy ... -0.478 Ry/atom
V ... 14.394 Å³ per atom

[5]
## PrSnF (PBE-GGA)

Data for a relaxed PrSnF crystal.

Unit cell a=4.058 b=4.058 c=5.337 alpha=90.00 beta=90.00 gamma=120.00
Sites, in units of the cell vectors:
Pr  0.000  0.000  0.000
Sn  0.333  0.667  0.500
F  0.667  0.333  0.000

## Properties
M_tot ... 0.00 Bohr magnetons per cell
Polymorph energy (0 for the lowest one) ... 0 meV per atom
Energy ... -0.399 Ry/atom
V ... 25.372 Å³ per atom

[6]
## PrSnF (PBE-GGA)

Data for a relaxed PrSnF crystal.

Unit cell a=6.510 b=6.510 c=6.510 alpha=149.39 beta=149.39 gamma=43.83
Sites, in units of the cell vectors:
Pr  0.000  0.000  0.000
Sn  0.286  0.286  0.000
F  0.552  0.552  0.000

## Properties
M_tot ... 0.00 Bohr magnetons per cell
Polymorph energy (0 for the lowest one) ... 122 meV per atom
Energy ... -0.390 Ry/atom
V ... 23.770 Å³ per atom

[7]
## Pr2SnF (PBE-GGA)

Data for a relaxed Pr2SnF crystal.

Unit cell a=10.188 b=10.188 c=10.188 alpha=20.06 beta=20.06 gamma=20.06
Sites, in units of the cell vectors:
Pr  0.105  0.105  0.105
Pr  0.895  0.895  0.895
Sn  0.000  0.000  0.000
F  0.500  0.500  0.500

## Properties
M_tot ... 0.00 Bohr magnetons per cell
Energy ... -0.361 Ry/atom
V ... 27.219 Å³ per atom

[8]
## PrSnF (PBE-GGA)

Data for a relaxed PrSnF crystal.

Unit cell a=11.056 b=11.056 c=4.102 alpha=90.00 beta=90.00 gamma=161.76
Sites, in units of the cell vectors:
Pr  0.173  0.827  0.750
Pr  0.827  0.173  0.250
Sn  0.451  0.549  0.250
Sn  0.549  0.451  0.750
F  0.231  0.769  0.250
F  0.769  0.231  0.750

## Properties
M_tot ... 0.00 Bohr magnetons per cell
Polymorph energy (0 for the lowest one) ... 157 meV per atom
Energy ... -0.387 Ry/atom
V ... 26.155 Å³ per atom

Calculated formation energy without anion corrections (eV per atom), listed in the same order as above: -2.47 -2.42 -1.14 -3.84 -1.87 -1.75 -1.05 -1.71
Calculated N(E_F) (states/eV/cell), listed in the same order as above: 4.43 3.20 2.95 0.95 1.24 0.62 4.16 2.32